Density functional theory data (PBE-GGA) for a relaxed ScPaSnAu crystal.

The value obtained for the mass density is 10.35 g/cm³. The energy relative to the elements comes out at -0.32 eV/atom. As for the space group: No. 216.

Cell and atoms, written as POSCAR:
```
ScPaSnAu
1.0
5.120 0.000 0.000
2.560 4.434 0.000
2.560 1.478 4.181
Sn Au Pa Sc
1 1 1 1
Cartesian
7.680 4.434 3.135
2.560 1.478 1.045
0.000 0.000 0.000
5.120 2.956 2.090
```